# 1
Here is crystalline TbZn2Cd at its relaxed geometry from Alexandria via LeMat-Bulk. Energies are from PBE.

DFT formation energy = -0.203 eV per atom
Crystal system = tetragonal
Density of states at the Fermi level = 3.3 states/eV per cell

Cell: 4.484 4.484 4.228 Å, 90.00 90.00 90.00°
Space group P4/mmm (No. 123)
Inequivalent atoms, fractional coordinates:
Tb 0.000 0.000 0.000 (multiplicity 1)
Zn 0.000 0.500 0.500 (multiplicity 2)
Cd 0.500 0.500 0.000 (multiplicity 1)



# 2
Here is crystalline LaCeDy at its relaxed geometry from Alexandria via LeMat-Bulk. Energies are from PBE.

DFT formation energy = 0.228 eV per atom
Crystal system = orthorhombic
Density of states at the Fermi level = 15.3 states/eV per cell

Cell: 6.557 3.406 8.541 Å, 90.00 90.00 90.00°
Space group Pmma (No. 51)
Inequivalent atoms, fractional coordinates:
La 0.250 0.000 0.158 (multiplicity 2)
Ce 0.250 0.500 0.842 (multiplicity 2)
Dy 0.000 0.500 0.500 (multiplicity 2)



# 3
Here is crystalline Tb4Pr8Sc at its relaxed geometry from Alexandria via LeMat-Bulk. Energies are from PBE.

DFT formation energy = 0.169 eV per atom
Crystal system = trigonal
Density of states at the Fermi level = 44.3 states/eV per cell

Cell: 7.3153 7.3153 29.0183 Å, 90.00 90.00 120.00°
Space group R-3m (No. 166, hexagonal axes)
Inequivalent atoms, fractional coordinates:
Tb 0.0000 0.0000 0.0000 (multiplicity 3)
Tb 0.0000 0.5000 0.0000 (multiplicity 9)
Pr 0.0000 0.0000 0.2133 (multiplicity 6)
Pr 0.0258 0.5129 0.7652 (multiplicity 18)
Sc 0.0000 0.0000 0.5000 (multiplicity 3)



# 4
Here is crystalline TiRh3Pb at its relaxed geometry from Alexandria via LeMat-Bulk. Energies are from PBE.

DFT formation energy = 0.355 eV per atom
Crystal system = cubic
Density of states at the Fermi level = 3.2 states/eV per cell

Cell: 4.619 4.619 4.619 Å, 90.00 90.00 90.00°
Space group Pm-3m (No. 221)
Inequivalent atoms, fractional coordinates:
Ti 0.000 0.000 0.000 (multiplicity 1)
Rh 0.000 0.000 0.500 (multiplicity 3)
Pb 0.500 0.500 0.500 (multiplicity 1)



# 5
Here is crystalline NiPtRh at its relaxed geometry from Alexandria via LeMat-Bulk. Energies are from PBE.

DFT formation energy = 0.009 eV per atom
Crystal system = trigonal
Density of states at the Fermi level = 6.0 states/eV per cell

Cell: 2.7181 2.7181 6.5069 Å, 90.00 90.00 120.00°
Space group P3m1 (No. 156)
Inequivalent atoms, fractional coordinates:
Ni 0.0000 0.0000 0.0000 (multiplicity 1)
Pt 0.6667 0.3333 0.3282 (multiplicity 1)
Rh 0.3333 0.6667 0.6872 (multiplicity 1)



# 6
Here is crystalline TbPr2Dy4Er2 at its relaxed geometry from Alexandria via LeMat-Bulk. Energies are from PBE.

DFT formation energy = 0.085 eV per atom
Crystal system = triclinic
Density of states at the Fermi level = 13.3 states/eV per cell

Cell: 6.008 6.590 8.545 Å, 80.25 70.96 66.34°
Space group P-1 (No. 2)
Inequivalent atoms, fractional coordinates:
Tb 0.000 0.000 0.000 (multiplicity 1)
Pr 0.275 0.674 0.659 (multiplicity 2)
Dy 0.256 0.426 0.113 (multiplicity 2)
Dy 0.384 0.875 0.238 (multiplicity 2)
Er 0.173 0.233 0.556 (multiplicity 2)



# 7
Here is crystalline Tb2NdThSb4 at its relaxed geometry from Alexandria via LeMat-Bulk. Energies are from PBE.

Crystal system = monoclinic
Density of states at the Fermi level = 1.8 states/eV per cell
DFT total energy = -5.86 eV per atom

Cell: 7.704 4.467 7.727 Å, 90.00 109.49 90.00°
Space group P2/m (No. 10)
Inequivalent atoms, fractional coordinates:
Tb 0.000 0.000 0.000 (multiplicity 1)
Tb 0.000 0.500 0.500 (multiplicity 1)
Nd 0.500 0.000 0.500 (multiplicity 1)
Th 0.500 0.500 0.000 (multiplicity 1)
Sb 0.243 0.000 0.748 (multiplicity 2)
Sb 0.243 0.500 0.247 (multiplicity 2)



# 8
Here is crystalline SbRhW2 at its relaxed geometry from Alexandria via LeMat-Bulk. Energies are from PBE.

Crystal system = tetragonal
Density of states at the Fermi level = 5.9 states/eV per cell
DFT total energy = -9.06 eV per atom

Cell: 3.891 3.891 8.776 Å, 90.00 90.00 90.00°
Space group I4/mmm (No. 139)
Inequivalent atoms, fractional coordinates:
Sb 0.000 0.000 0.000 (multiplicity 2)
Rh 0.000 0.000 0.500 (multiplicity 2)
W 0.000 0.500 0.250 (multiplicity 4)



# 9
Here is crystalline Ca2NbCuPd at its relaxed geometry from Alexandria via LeMat-Bulk. Energies are from PBE.

DFT formation energy = 0.642 eV per atom
Crystal system = tetragonal
Density of states at the Fermi level = 3.2 states/eV per cell

Cell: 5.394 5.394 4.770 Å, 90.00 90.00 90.00°
Space group P4/mmm (No. 123)
Inequivalent atoms, fractional coordinates:
Ca 0.000 0.500 0.000 (multiplicity 2)
Nb 0.000 0.000 0.500 (multiplicity 1)
Cu 0.500 0.500 0.500 (multiplicity 1)
Pd 0.500 0.500 0.000 (multiplicity 1)



# 10
Here is crystalline K2LiH4 at its relaxed geometry from Alexandria via LeMat-Bulk. Energies are from PBE.

Crystal system = tetragonal
Density of states at the Fermi level = 1.4 states/eV per cell
DFT total energy = -2.47 eV per atom

Cell: 4.019 4.019 13.360 Å, 90.00 90.00 90.00°
Space group I4/mmm (No. 139)
Inequivalent atoms, fractional coordinates:
K 0.000 0.000 0.141 (multiplicity 4)
Li 0.000 0.000 0.500 (multiplicity 2)
H 0.000 0.000 0.353 (multiplicity 4)
H 0.000 0.500 0.000 (multiplicity 4)



# 11
Here is crystalline As2Pb at its relaxed geometry from Alexandria via LeMat-Bulk. Energies are from PBE.

DFT formation energy = 0.172 eV per atom
Crystal system = hexagonal
Density of states at the Fermi level = 4.5 states/eV per cell

Cell: 9.1600 9.1600 3.6059 Å, 90.00 90.00 120.00°
Space group P-62m (No. 189)
Inequivalent atoms, fractional coordinates:
As 0.0000 0.2898 0.0000 (multiplicity 3)
As 0.0000 0.4802 0.5000 (multiplicity 3)
Pb 0.0000 0.0000 0.5000 (multiplicity 1)
Pb 0.3333 0.6667 0.0000 (multiplicity 2)



# 12
Here is crystalline KSbAsBr2 at its relaxed geometry from Alexandria via LeMat-Bulk. Energies are from PBE.

Crystal system = tetragonal
Density of states at the Fermi level = 3.6 states/eV per cell
DFT total energy = -2.18 eV per atom

Cell: 5.819 5.819 6.166 Å, 90.00 90.00 90.00°
Space group P4/mmm (No. 123)
Inequivalent atoms, fractional coordinates:
K 0.000 0.000 0.000 (multiplicity 1)
Sb 0.500 0.500 0.500 (multiplicity 1)
As 0.000 0.000 0.500 (multiplicity 1)
Br 0.000 0.500 0.000 (multiplicity 2)



# 13
Here is crystalline Sm4TmP5 at its relaxed geometry from Alexandria via LeMat-Bulk. Energies are from PBE.

DFT formation energy = -1.571 eV per atom
Crystal system = tetragonal
Density of states at the Fermi level = 1.0 states/eV per cell

Cell: 9.117 9.117 5.770 Å, 90.00 90.00 90.00°
Space group I4/m (No. 87)
Inequivalent atoms, fractional coordinates:
Sm 0.099 0.300 0.000 (multiplicity 8)
Tm 0.000 0.000 0.500 (multiplicity 2)
P 0.000 0.000 0.000 (multiplicity 2)
P 0.098 0.295 0.500 (multiplicity 8)



# 14
Here is crystalline DyY6Tm at its relaxed geometry from Alexandria via LeMat-Bulk. Energies are from PBE.

DFT formation energy = 0.026 eV per atom
Crystal system = triclinic
Density of states at the Fermi level = 12.2 states/eV per cell

Cell: 6.153 6.164 7.120 Å, 73.23 89.99 80.26°
Space group P-1 (No. 2)
Inequivalent atoms, fractional coordinates:
Dy 0.000 0.000 0.000 (multiplicity 1)
Y 0.249 0.502 0.375 (multiplicity 2)
Y 0.249 0.502 0.874 (multiplicity 2)
Y 0.500 0.000 0.250 (multiplicity 2)
Tm 0.000 0.000 0.500 (multiplicity 1)



# 15
Here is crystalline CaZr2In at its relaxed geometry from Alexandria via LeMat-Bulk. Energies are from PBE.

DFT formation energy = 0.071 eV per atom
Crystal system = tetragonal
Density of states at the Fermi level = 5.3 states/eV per cell

Cell: 3.213 3.213 9.979 Å, 90.00 90.00 90.00°
Space group P4/mmm (No. 123)
Inequivalent atoms, fractional coordinates:
Ca 0.000 0.000 0.000 (multiplicity 1)
Zr 0.500 0.500 0.288 (multiplicity 2)
In 0.000 0.000 0.500 (multiplicity 1)



# 16
Here is crystalline Ce3Co at its relaxed geometry from Alexandria via LeMat-Bulk. Energies are from PBE.

DFT formation energy = -0.055 eV per atom
Crystal system = tetragonal
Density of states at the Fermi level = 71.3 states/eV per cell

Cell: 11.487 11.487 5.583 Å, 90.00 90.00 90.00°
Space group P4_2/n (No. 86, origin choice 2)
Inequivalent atoms, fractional coordinates:
Ce 0.064 0.913 0.212 (multiplicity 8)
Ce 0.119 0.294 0.990 (multiplicity 8)
Ce 0.125 0.818 0.686 (multiplicity 8)
Co 0.043 0.323 0.582 (multiplicity 8)



# 17
Here is crystalline MnNb2NiN at its relaxed geometry from Alexandria via LeMat-Bulk. Energies are from PBE.

Crystal system = tetragonal
Density of states at the Fermi level = 4.5 states/eV per cell
DFT total energy = -9.06 eV per atom

Cell: 4.246 4.246 3.714 Å, 90.00 90.00 90.00°
Space group P4/mmm (No. 123)
Inequivalent atoms, fractional coordinates:
Mn 0.000 0.000 0.000 (multiplicity 1)
Nb 0.000 0.500 0.500 (multiplicity 2)
Ni 0.500 0.500 0.000 (multiplicity 1)
N 0.000 0.000 0.500 (multiplicity 1)



# 18
Here is crystalline Ac2DyPtO6 at its relaxed geometry from Alexandria via LeMat-Bulk. Energies are from PBE.

Crystal system = monoclinic
Density of states at the Fermi level = 10.2 states/eV per cell
DFT total energy = -7.47 eV per atom

Cell: 11.966 5.672 5.203 Å, 90.00 112.77 90.00°
Space group C2/m (No. 12)
Inequivalent atoms, fractional coordinates:
Ac 0.240 0.000 0.217 (multiplicity 4)
Dy 0.000 0.500 0.000 (multiplicity 2)
Pt 0.000 0.000 0.500 (multiplicity 2)
O 0.084 0.239 0.793 (multiplicity 8)
O 0.195 0.500 0.295 (multiplicity 4)



# 19
Here is crystalline LiLuZn2 at its relaxed geometry from Alexandria via LeMat-Bulk. Energies are from PBE.

DFT formation energy = -0.226 eV per atom
Crystal system = cubic
Density of states at the Fermi level = 9.3 states/eV per cell

Cell: 6.649 6.649 6.649 Å, 90.00 90.00 90.00°
Space group Fm-3m (No. 225)
Inequivalent atoms, fractional coordinates:
Li 0.000 0.000 0.000 (multiplicity 4)
Lu 0.000 0.000 0.500 (multiplicity 4)
Zn 0.250 0.250 0.250 (multiplicity 8)



# 20
Here is crystalline MgBeCo2 at its relaxed geometry from Alexandria via LeMat-Bulk. Energies are from PBE.

DFT formation energy = 0.024 eV per atom
Crystal system = tetragonal
Density of states at the Fermi level = 2.9 states/eV per cell

Cell: 2.796 2.796 6.102 Å, 90.00 90.00 90.00°
Space group P4mm (No. 99)
Inequivalent atoms, fractional coordinates:
Mg 0.000 0.000 0.000 (multiplicity 1)
Be 0.500 0.500 0.306 (multiplicity 1)
Co 0.000 0.000 0.476 (multiplicity 1)
Co 0.500 0.500 0.704 (multiplicity 1)



# 21
Here is crystalline Pu3BiAsN at its relaxed geometry from Alexandria via LeMat-Bulk. Energies are from PBE.

Crystal system = monoclinic
Density of states at the Fermi level = 49.0 states/eV per cell
DFT total energy = -10.75 eV per atom

Cell: 7.531 4.337 9.088 Å, 90.00 104.66 90.00°
Space group P2_1/m (No. 11)
Inequivalent atoms, fractional coordinates:
Pu 0.007 0.250 0.159 (multiplicity 2)
Pu 0.179 0.250 0.569 (multiplicity 2)
Pu 0.451 0.750 0.797 (multiplicity 2)
Bi 0.328 0.750 0.347 (multiplicity 2)
As 0.260 0.250 0.922 (multiplicity 2)
N 0.078 0.750 0.622 (multiplicity 2)



# 22
Here is crystalline Zn2HgTe at its relaxed geometry from Alexandria via LeMat-Bulk. Energies are from PBE.

Crystal system = tetragonal
Density of states at the Fermi level = 1.9 states/eV per cell
DFT total energy = -1.47 eV per atom

Cell: 6.883 6.883 9.391 Å, 90.00 90.00 90.00°
Space group I-42d (No. 122)
Inequivalent atoms, fractional coordinates:
Zn 0.247 0.250 0.125 (multiplicity 8)
Hg 0.000 0.000 0.500 (multiplicity 4)
Te 0.000 0.000 0.000 (multiplicity 4)



# 23
Here is crystalline Cs2AgAsS4 at its relaxed geometry from Alexandria via LeMat-Bulk. Energies are from PBE.

Crystal system = orthorhombic
DFT total energy = -3.82 eV per atom

Cell: 6.457 13.748 24.772 Å, 90.00 90.00 90.00°
Space group Fddd (No. 70, origin choice 2)
Inequivalent atoms, fractional coordinates:
Cs 0.125 0.125 0.304 (multiplicity 16)
Ag 0.125 0.125 0.125 (multiplicity 8)
As 0.125 0.125 0.625 (multiplicity 8)
S 0.077 0.282 0.825 (multiplicity 32)



# 24
Here is crystalline CaEr2Cd8 at its relaxed geometry from Alexandria via LeMat-Bulk. Energies are from PBE.

DFT formation energy = -0.246 eV per atom
Crystal system = monoclinic
Density of states at the Fermi level = 9.5 states/eV per cell

Cell: 8.264 15.961 5.367 Å, 90.00 130.12 90.00°
Space group C2/m (No. 12)
Inequivalent atoms, fractional coordinates:
Ca 0.000 0.000 0.000 (multiplicity 2)
Er 0.000 0.312 0.500 (multiplicity 4)
Cd 0.000 0.202 0.000 (multiplicity 4)
Cd 0.002 0.500 0.254 (multiplicity 4)
Cd 0.234 0.133 0.737 (multiplicity 8)